No. 1
Ba2ZnGe2O7 | meta-GGA SCAN | single point on PBEsol structure

a = 8.360 Å, b = 8.360 Å, c = 5.558 Å
α = 90.00°, β = 90.00°, γ = 90.00°
Space group P-42_1m (No. 113)
Asymmetric unit:
Ba (0.165, 0.335, 0.008) (multiplicity 4)
Zn (0.000, 0.000, 0.500) (multiplicity 2)
Ge (0.141, 0.641, 0.538) (multiplicity 4)
O (0.000, 0.500, 0.661) (multiplicity 2)
O (0.080, 0.817, 0.688) (multiplicity 8)
O (0.138, 0.638, 0.227) (multiplicity 4)

The value obtained for the calculated total energy is -16.892 eV per atom. Its formation energy (no corrections) is -2.358 eV/atom. The density of states at the Fermi level is 0.00 states/eV/f.u.

No. 2
BaGe3Os | meta-GGA SCAN | single point on PBEsol structure

a = 4.876 Å, b = 4.876 Å, c = 4.876 Å
α = 90.00°, β = 90.00°, γ = 90.00°
Space group Pm-3m (No. 221)
Asymmetric unit:
Ba (0.000, 0.000, 0.000) (multiplicity 1)
Ge (0.000, 0.500, 0.500) (multiplicity 3)
Os (0.500, 0.500, 0.500) (multiplicity 1)

The value obtained for the calculated total energy is -33.717 eV per atom. For the formation energy, the calculation gives 0.0220 eV/atom. The density of states at the Fermi level is 6.45 states/eV/f.u.

No. 3
BaGeP2 | meta-GGA SCAN | single point on PBEsol structure

a = 7.200 Å, b = 7.200 Å, c = 7.780 Å
α = 90.00°, β = 90.00°, γ = 90.00°
Space group I-42d (No. 122)
Asymmetric unit:
Ba (0.000, 0.000, 0.000) (multiplicity 4)
Ge (0.000, 0.000, 0.500) (multiplicity 4)
P (0.156, 0.750, 0.625) (multiplicity 8)

The value obtained for the calculated total energy is -20.522 eV per atom. For the formation energy, the calculation gives -0.6635 eV/atom.

No. 4
BaGe2P2 | meta-GGA SCAN | single point on PBEsol structure

a = 4.693 Å, b = 4.693 Å, c = 10.520 Å
α = 90.00°, β = 90.00°, γ = 90.00°
Space group I4/mmm (No. 139)
Asymmetric unit:
Ba (0.000, 0.000, 0.000) (multiplicity 2)
Ge (0.000, 0.500, 0.250) (multiplicity 4)
P (0.000, 0.000, 0.332) (multiplicity 4)

The value obtained for the calculated total energy is -20.011 eV per atom. For the formation energy, the calculation gives -0.3062 eV/atom. The density of states at the Fermi level is 1.84 states/eV/f.u.